Dy8As3PSe4 | Alexandria via LeMat-Bulk | PBE | optimized geometry; ΔE_f (raw) = -2664 kJ/mol of formula units; calculated volume = 24.2 Å³ per atom
1.0
8.157 0.000 0.000
0.000 8.201 0.025
-4.078 -4.074 5.771
Dy As P Se
8 3 1 4
Direct
0.242 0.734 0.992 Dy
0.242 0.734 0.484 Dy
0.254 0.262 0.508 Dy
0.750 0.734 0.992 Dy
0.250 0.266 0.008 Dy
0.746 0.738 0.492 Dy
0.758 0.266 0.516 Dy
0.758 0.266 0.008 Dy
0.500 0.500 0.000 As
0.500 0.500 0.500 As
0.000 0.500 0.500 As
0.000 0.500 0.000 P
0.500 0.000 0.000 Se
0.500 0.000 0.500 Se
0.000 0.000 0.000 Se
0.000 0.000 0.500 Se

Dy4AsP2Se | Alexandria via LeMat-Bulk | PBE | optimized geometry; ΔE_f (raw) = -1315 kJ/mol of formula units; calculated volume = 23.5 Å³ per atom
1.0
4.046 0.000 0.000
0.000 7.031 -0.154
0.000 2.459 6.560
Dy As P Se
4 1 2 1
Direct
0.000 0.764 0.741 Dy
0.000 0.236 0.259 Dy
0.500 0.760 0.250 Dy
0.500 0.240 0.750 Dy
0.000 0.500 0.500 As
0.000 0.000 0.000 P
0.500 0.000 0.500 P
0.500 0.500 0.000 Se

Dy8AsP3Se4 | Alexandria via LeMat-Bulk | PBE | optimized geometry; ΔE_f (raw) = -2723 kJ/mol of formula units; calculated volume = 23.7 Å³ per atom
1.0
8.080 0.000 0.000
0.000 8.163 0.053
-4.040 -4.036 5.716
Dy As P Se
8 1 3 4
Direct
0.246 0.731 0.985 Dy
0.246 0.731 0.493 Dy
0.257 0.272 0.515 Dy
0.738 0.731 0.985 Dy
0.262 0.269 0.015 Dy
0.743 0.728 0.485 Dy
0.754 0.269 0.507 Dy
0.754 0.269 0.015 Dy
0.000 0.500 0.000 As
0.500 0.500 0.000 P
0.500 0.500 0.500 P
0.000 0.500 0.500 P
0.500 0.000 0.000 Se
0.500 0.000 0.500 Se
0.000 0.000 0.000 Se
0.000 0.000 0.500 Se

Dy6As3P2Se | Alexandria via LeMat-Bulk | PBE | optimized geometry; ΔE_f (raw) = -1903 kJ/mol of formula units; calculated volume = 23.9 Å³ per atom
1.0
4.074 0.000 0.000
0.000 8.155 0.304
-2.037 -2.337 8.557
Dy As P Se
6 3 2 1
Direct
0.330 0.909 0.660 Dy
0.669 0.579 0.338 Dy
0.670 0.091 0.340 Dy
0.003 0.259 0.005 Dy
0.997 0.741 0.995 Dy
0.331 0.421 0.662 Dy
0.500 0.500 0.000 As
0.835 0.167 0.671 As
0.165 0.833 0.329 As
0.833 0.667 0.667 P
0.167 0.333 0.333 P
0.500 0.000 0.000 Se

Dy4As2PSe | Alexandria via LeMat-Bulk | PBE | optimized geometry; ΔE_f (raw) = -1288 kJ/mol of formula units; calculated volume = 24.0 Å³ per atom
1.0
4.080 0.000 0.000
0.000 7.054 -0.142
0.000 2.480 6.626
Dy As P Se
4 2 1 1
Direct
0.000 0.754 0.741 Dy
0.000 0.246 0.259 Dy
0.500 0.748 0.258 Dy
0.500 0.252 0.742 Dy
0.000 0.000 0.000 As
0.500 0.000 0.500 As
0.000 0.500 0.500 P
0.500 0.500 0.000 Se

SmDyAsP | Alexandria via LeMat-Bulk | PBE | optimized geometry; calculated volume = 24.6 Å³ per atom; energy = -6.389 eV per atom
1.0
-1.250 -3.168 -2.314
2.953 0.839 -2.744
3.645 -3.518 2.846
Sm Dy As P
1 1 1 1
Direct
0.000 0.892 0.592 Sm
0.500 0.391 0.092 Dy
0.500 0.392 0.593 As
0.000 0.891 0.092 P

TbDyAsP | Alexandria via LeMat-Bulk | PBE | optimized geometry; calculated volume = 23.9 Å³ per atom; energy = -6.389 eV per atom
1.0
4.074 0.000 0.000
0.000 4.067 0.243
0.000 -0.344 5.749
Tb Dy As P
1 1 1 1
Direct
0.000 0.892 0.592 Tb
0.500 0.391 0.093 Dy
0.500 0.392 0.593 As
0.000 0.891 0.092 P

Dy4TeAs2P | Alexandria via LeMat-Bulk | PBE | optimized geometry; ΔE_f (raw) = -1175 kJ/mol of formula units; calculated volume = 25.3 Å³ per atom
1.0
-3.130 -0.422 -2.676
3.700 -5.028 -3.536
-1.517 -6.476 2.795
Dy Te As P
4 1 2 1
Direct
0.000 0.764 0.730 Dy
0.000 0.236 0.270 Dy
0.500 0.753 0.263 Dy
0.500 0.247 0.737 Dy
0.500 0.500 0.000 Te
0.000 0.000 0.000 As
0.500 0.000 0.500 As
0.000 0.500 0.500 P

Dy6TeAs2P3 | Alexandria via LeMat-Bulk | PBE | optimized geometry; ΔE_f (raw) = -1817 kJ/mol of formula units; calculated volume = 24.4 Å³ per atom
1.0
4.089 0.000 0.000
0.000 8.235 0.284
-2.044 -2.386 8.615
Dy Te As P
6 1 2 3
Direct
0.325 0.916 0.650 Dy
0.666 0.587 0.333 Dy
0.675 0.084 0.350 Dy
0.999 0.272 0.997 Dy
0.001 0.728 0.003 Dy
0.334 0.413 0.667 Dy
0.500 0.000 0.000 Te
0.834 0.667 0.667 As
0.166 0.333 0.333 As
0.500 0.500 0.000 P
0.835 0.167 0.671 P
0.165 0.833 0.329 P

Dy4Te2AsP | Alexandria via LeMat-Bulk | PBE | optimized geometry; ΔE_f (raw) = -1175 kJ/mol of formula units; calculated volume = 26.4 Å³ per atom
1.0
4.157 0.000 0.000
0.000 7.195 0.120
0.000 -2.522 7.024
Dy Te As P
4 2 1 1
Direct
0.500 0.232 0.212 Dy
0.500 0.768 0.788 Dy
0.000 0.255 0.785 Dy
0.000 0.745 0.215 Dy
0.500 0.000 0.500 Te
0.000 0.500 0.500 Te
0.500 0.500 0.000 As
0.000 0.000 0.000 P

Dy8Te4As3P | Alexandria via LeMat-Bulk | PBE | optimized geometry; ΔE_f (raw) = -2327 kJ/mol of formula units; calculated volume = 26.7 Å³ per atom
1.0
-8.025 0.634 -2.224
1.439 -5.168 -6.667
2.013 -2.597 7.679
Dy Te As P
8 4 3 1
Direct
0.235 0.715 0.979 Dy
0.235 0.715 0.470 Dy
0.261 0.282 0.521 Dy
0.744 0.715 0.979 Dy
0.256 0.285 0.021 Dy
0.739 0.718 0.479 Dy
0.765 0.285 0.530 Dy
0.765 0.285 0.021 Dy
0.500 0.000 0.000 Te
0.500 0.000 0.500 Te
0.000 0.000 0.000 Te
0.000 0.000 0.500 Te
0.500 0.500 0.000 As
0.500 0.500 0.500 As
0.000 0.500 0.500 As
0.000 0.500 0.000 P

Dy8Te3As3P | Alexandria via LeMat-Bulk | PBE | optimized geometry; ΔE_f (raw) = -1977 kJ/mol of formula units; calculated volume = 27.8 Å³ per atom
1.0
-0.414 0.873 8.238
-3.426 -6.615 -3.647
8.458 0.622 0.359
Dy Te As P
8 3 3 1
Direct
0.261 0.522 0.284 Dy
0.739 0.478 0.716 Dy
0.763 0.526 0.282 Dy
0.237 0.474 0.718 Dy
0.763 0.019 0.282 Dy
0.237 0.981 0.718 Dy
0.256 0.019 0.282 Dy
0.744 0.981 0.718 Dy
0.000 0.000 0.000 Te
0.000 0.500 0.000 Te
0.500 0.500 0.000 Te
0.500 0.000 0.500 As
0.500 0.500 0.500 As
0.000 0.500 0.500 As
0.000 0.000 0.500 P

Dy6TeAs3P2 | Alexandria via LeMat-Bulk | PBE | optimized geometry; ΔE_f (raw) = -1791 kJ/mol of formula units; calculated volume = 24.8 Å³ per atom
1.0
4.115 0.000 0.000
0.000 8.269 0.321
-2.057 -2.356 8.646
Dy Te As P
6 1 3 2
Direct
0.325 0.905 0.650 Dy
0.670 0.580 0.339 Dy
0.675 0.095 0.350 Dy
0.004 0.270 0.008 Dy
0.996 0.730 0.992 Dy
0.330 0.420 0.661 Dy
0.500 0.000 0.000 Te
0.500 0.500 0.000 As
0.837 0.167 0.674 As
0.163 0.833 0.326 As
0.832 0.666 0.665 P
0.168 0.334 0.335 P

DyThAsP | Alexandria via LeMat-Bulk | PBE | optimized geometry; calculated volume = 25.4 Å³ per atom; energy = -6.906 eV per atom
1.0
4.091 -0.001 0.000
-2.045 3.544 0.000
-2.044 -1.180 7.022
Dy Th As P
1 1 1 1
Direct
0.957 0.376 0.348 Dy
0.315 0.555 0.885 Th
0.468 0.132 0.615 As
0.139 0.967 0.122 P

DyYAsP | Alexandria via LeMat-Bulk | PBE | optimized geometry; calculated volume = 23.8 Å³ per atom; energy = -6.857 eV per atom
1.0
-3.306 2.184 0.917
-1.265 -0.297 -3.853
-2.832 -4.834 1.303
Dy Y As P
1 1 1 1
Direct
0.000 0.891 0.092 Dy
0.500 0.392 0.592 Y
0.000 0.892 0.592 As
0.500 0.391 0.092 P

DyPaAs | Alexandria via LeMat-Bulk | PBE | optimized geometry; polymorph energy (0 for the lowest one) = 0.0 meV/atom; calculated volume = 24.2 Å³ per atom
1.0
-3.139 -1.067 2.609
0.861 -4.081 -0.634
5.201 0.118 6.305
Pa As Dy
2 2 2
Direct
0.836 0.336 0.860 Pa
0.336 0.836 0.140 Pa
0.836 0.336 0.223 As
0.336 0.836 0.777 As
0.837 0.837 0.500 Dy
0.337 0.337 0.500 Dy

DyPa2As3 | Alexandria via LeMat-Bulk | PBE | optimized geometry; calculated volume = 24.3 Å³ per atom; energy = -7.466 eV per atom
1.0
-4.247 3.820 -0.994
-4.091 -5.663 -4.290
-5.685 -3.656 10.247
Dy Pa As
4 8 12
Direct
0.250 0.877 0.081 Dy
0.250 0.377 0.419 Dy
0.750 0.623 0.581 Dy
0.750 0.123 0.919 Dy
0.251 0.876 0.750 Pa
0.251 0.376 0.750 Pa
0.250 0.876 0.417 Pa
0.250 0.376 0.083 Pa
0.750 0.624 0.917 Pa
0.750 0.124 0.583 Pa
0.749 0.624 0.250 Pa
0.749 0.124 0.250 Pa
0.250 0.627 0.584 As
0.250 0.127 0.916 As
0.250 0.626 0.917 As
0.250 0.126 0.583 As
0.249 0.626 0.250 As
0.249 0.126 0.250 As
0.751 0.874 0.750 As
0.751 0.374 0.750 As
0.750 0.874 0.417 As
0.750 0.374 0.083 As
0.750 0.873 0.084 As
0.750 0.373 0.416 As

DyPa3As4 | Alexandria via LeMat-Bulk | PBE | optimized geometry; calculated volume = 24.3 Å³ per atom; energy = -7.628 eV per atom
1.0
4.094 -0.051 0.070
0.050 6.809 1.989
-0.116 0.396 7.082
As Pa Dy
4 3 1
Direct
0.000 0.750 0.750 As
0.500 0.749 0.249 As
0.000 0.250 0.250 As
0.500 0.251 0.751 As
0.500 0.000 0.500 Pa
0.000 0.000 0.000 Pa
0.000 0.500 0.500 Pa
0.500 0.500 0.000 Dy

DyPa2As4 | Alexandria via LeMat-Bulk | PBE | optimized geometry; calculated volume = 26.1 Å³ per atom; energy = -6.954 eV per atom
1.0
-1.230 -1.579 3.536
6.937 -1.314 -0.508
2.628 11.531 6.062
Dy Pa As
2 4 8
Direct
0.616 0.232 0.750 Dy
0.384 0.768 0.250 Dy
0.131 0.263 0.433 Pa
0.869 0.737 0.933 Pa
0.131 0.263 0.067 Pa
0.869 0.737 0.567 Pa
0.769 0.538 0.126 As
0.769 0.538 0.374 As
0.231 0.462 0.874 As
0.231 0.462 0.626 As
0.965 0.930 0.750 As
0.035 0.070 0.250 As
0.500 0.000 0.000 As
0.500 0.000 0.500 As

DyPa5As6 | Alexandria via LeMat-Bulk | PBE | optimized geometry; calculated volume = 24.3 Å³ per atom; energy = -7.797 eV per atom
1.0
-6.927 0.407 -1.457
-3.115 -6.177 1.566
-2.642 -1.095 6.493
As Pa Dy
6 5 1
Direct
0.751 0.083 0.333 As
0.249 0.584 0.333 As
0.249 0.250 0.000 As
0.751 0.750 0.000 As
0.751 0.416 0.667 As
0.249 0.917 0.667 As
0.500 0.166 0.668 Pa
0.000 0.333 0.333 Pa
0.500 0.500 0.000 Pa
0.000 0.667 0.667 Pa
0.500 0.834 0.332 Pa
0.000 0.000 0.000 Dy